(1)
Crystalline Fe2PbBr at its relaxed geometry, computed with PBE.

Unit cell a=3.382 b=4.042 c=6.432 alpha=90.03 beta=90.00 gamma=90.00
Positions (direct):
Fe  0.000  0.750  0.073
Pb  0.500  0.250  0.250
Fe  0.000  0.750  0.427
Br  0.500  0.750  0.750

Output
- energy relative to the lowest polymorph listed for this composition (kJ/mol of atoms) = 23.07
- energy relative to the elements, uncorrected (eV per formula unit) = 1.74
- crystal system = orthorhombic
- volume (Å³ per atom) = 22.0
- density of states at the Fermi level (states/eV/atom) = 0.975

=====

(2)
Crystalline CdSnSe2 at its relaxed geometry, computed with PBE.

Unit cell a=6.554 b=6.554 c=7.872 alpha=65.40 beta=65.40 gamma=90.00
Positions (direct):
Cd  0.500  0.500  0.000
Se  0.875  0.846  0.750
Sn  0.750  0.250  0.500
Sn  0.000  0.000  0.000
Se  0.375  0.404  0.750
Cd  0.250  0.750  0.500
Se  0.596  0.125  0.250
Se  0.154  0.625  0.250

Output
- energy relative to the elements, uncorrected (eV per formula unit) = -1.54
- crystal system = tetragonal
- volume (Å³ per atom) = 34.2
- density of states at the Fermi level (states/eV/atom) = 0.000

=====

(3)
Crystalline Ac2PmScSe6 at its relaxed geometry, computed with PBE.

Unit cell a=7.125 b=7.850 c=10.501 alpha=90.00 beta=89.07 gamma=90.00
Positions (direct):
Se  0.874  0.536  0.261
Se  0.688  0.320  0.561
Ac  0.037  0.903  0.253
Ac  0.537  0.597  0.753
Se  0.169  0.195  0.437
Se  0.331  0.695  0.063
Se  0.626  0.036  0.239
Se  0.831  0.805  0.563
Se  0.374  0.964  0.761
Se  0.188  0.180  0.061
Ac  0.963  0.097  0.747
Se  0.669  0.305  0.937
Ac  0.463  0.403  0.247
Sc  0.000  0.500  0.500
Pm  0.500  0.000  0.500
Pm  0.000  0.500  0.000
Sc  0.500  0.000  0.000
Se  0.312  0.680  0.439
Se  0.126  0.464  0.739
Se  0.812  0.820  0.939

Output
- energy relative to the elements, uncorrected (eV per formula unit) = -19.21
- crystal system = monoclinic
- volume (Å³ per atom) = 29.4
- density of states at the Fermi level (states/eV/atom) = 0.000

=====

(4)
Crystalline TaBRu3 at its relaxed geometry, computed with PBE.

Unit cell a=7.336 b=7.336 c=7.336 alpha=40.13 beta=40.13 gamma=40.13
Positions (direct):
Ru  0.742  0.457  0.113
Ru  0.887  0.258  0.543
Ru  0.457  0.113  0.742
Ru  0.258  0.543  0.887
Ta  0.670  0.670  0.670
Ru  0.113  0.742  0.457
B  0.837  0.837  0.837
Ta  0.330  0.330  0.330
B  0.163  0.163  0.163
Ru  0.543  0.887  0.258

Output
- crystal system = trigonal
- volume (Å³ per atom) = 14.8
- density of states at the Fermi level (states/eV/atom) = 0.533
- formation enthalpy at 0 K (eV/f.u.) = 0.552

=====

(5)
Crystalline NbFeP3 at its relaxed geometry, computed with PBE.

Unit cell a=4.790 b=4.790 c=4.790 alpha=90.00 beta=90.00 gamma=90.00
Positions (direct):
Nb  0.000  0.000  0.000
P  0.000  0.000  0.500
P  0.500  0.000  0.000
P  0.000  0.500  0.000
Fe  0.500  0.500  0.500

Output
- energy relative to the lowest polymorph listed for this composition (kJ/mol of atoms) = 22.97
- crystal system = cubic
- volume (Å³ per atom) = 22.0
- density of states at the Fermi level (states/eV/atom) = 0.893
- formation enthalpy at 0 K (eV/f.u.) = 4.154

=====

(6)
Crystalline LiSmBeHg at its relaxed geometry, computed with PBE.

Unit cell a=4.690 b=4.690 c=4.690 alpha=60.00 beta=60.00 gamma=60.00
Positions (direct):
Sm  0.750  0.750  0.750
Be  0.000  0.000  0.000
Li  0.500  0.500  0.500
Hg  0.250  0.250  0.250

Output
- crystal system = cubic
- volume (Å³ per atom) = 18.2
- density of states at the Fermi level (states/eV/atom) = 0.273
- formation enthalpy at 0 K (eV/f.u.) = -0.486

=====

(7)
Crystalline Ho2ClO at its relaxed geometry, computed with PBE.

Unit cell a=3.486 b=3.486 c=7.256 alpha=76.10 beta=76.10 gamma=60.00
Positions (direct):
Ho  0.271  0.271  0.187
Ho  0.729  0.729  0.813
Cl  0.500  0.500  0.500
O  0.000  0.000  0.000

Output
- energy relative to the elements, uncorrected (eV per formula unit) = -7.54
- crystal system = trigonal
- volume (Å³ per atom) = 18.3
- density of states at the Fermi level (states/eV/atom) = 0.740

=====

(8)
Crystalline Th3TlFe3 at its relaxed geometry, computed with PBE.

Unit cell a=3.751 b=10.006 c=10.006 alpha=120.00 beta=90.00 gamma=90.00
Positions (direct):
Th  0.750  0.959  0.632
Th  0.750  0.368  0.327
Th  0.250  0.632  0.673
Tl  0.250  0.667  0.333
Fe  0.750  0.843  0.862
Fe  0.750  0.138  0.981
Fe  0.250  0.981  0.843
Th  0.750  0.673  0.041
Fe  0.250  0.157  0.138
Tl  0.750  0.333  0.667
Fe  0.750  0.019  0.157
Fe  0.250  0.862  0.019
Th  0.250  0.327  0.959
Th  0.250  0.041  0.368

Output
- crystal system = hexagonal
- volume (Å³ per atom) = 23.2
- density of states at the Fermi level (states/eV/atom) = 0.901
- formation enthalpy at 0 K (eV/f.u.) = -0.438